# ZrTiVZn2 | Alexandria | PBE | optimized geometry
data_ZrTiVZn2
_cell_length_a 4.765
_cell_length_b 4.765
_cell_length_c 4.650
_cell_angle_alpha 90.00
_cell_angle_beta 90.00
_cell_angle_gamma 90.00
_symmetry_space_group_name_H-M 'P 4/m m m'
_symmetry_Int_Tables_number 123
_symmetry_space_group_name_Hall '-P 4 2'
loop_
_atom_site_label
_atom_site_type_symbol
_atom_site_fract_x
_atom_site_fract_y
_atom_site_fract_z
Zr1 Zr 0.000 0.000 0.000
Ti1 Ti 0.000 0.000 0.500
V1 V 0.500 0.500 0.000
Zn1 Zn 0.000 0.500 0.500
# Calculated formation energy, eV per atom: 1.247

Y2CdSe: optimized geometry, PBE.

CIF file:
```
data_Y2CdSe
_cell_length_a 3.9686
_cell_length_b 3.9686
_cell_length_c 23.3530
_cell_angle_alpha 90.00
_cell_angle_beta 90.00
_cell_angle_gamma 120.00
_symmetry_space_group_name_H-M 'R -3 m'
_symmetry_Int_Tables_number 166
_symmetry_space_group_name_Hall '-R 3 2"'
loop_
_atom_site_label
_atom_site_type_symbol
_atom_site_fract_x
_atom_site_fract_y
_atom_site_fract_z
Y1 Y 0.0000 0.0000 0.2408
Cd1 Cd 0.0000 0.0000 0.0000
Se1 Se 0.0000 0.0000 0.5000
```

# CdSn | Alexandria | PBE | optimized geometry
data_CdSn
_cell_length_a 8.084
_cell_length_b 8.084
_cell_length_c 8.084
_cell_angle_alpha 90.00
_cell_angle_beta 90.00
_cell_angle_gamma 90.00
_symmetry_space_group_name_H-M 'P m -3 n'
_symmetry_Int_Tables_number 223
_symmetry_space_group_name_Hall '-P 4n 2 3'
loop_
_atom_site_label
_atom_site_type_symbol
_atom_site_fract_x
_atom_site_fract_y
_atom_site_fract_z
Cd1 Cd 0.000 0.250 0.500
Sn1 Sn 0.000 0.500 0.250
# Calculated formation energy, eV per atom: 0.423

Listing raw total energy for the structures above in their given order: -4.375 -5.338 -2.036 eV/atom.
Listing density of states at the Fermi level for the structures above in their given order: 8.89 2.52 1.01 states/eV/f.u..